1.
Here is Ca2CrH after structural relaxation from Alexandria via LeMat-Bulk. Energies are from PBE.

Properties
The calculation puts the magnetization at 1.443 μB/cell. Its energy relative to the lowest polymorph listed for this composition is 106 meV/atom. The calculation puts the density of states at the Fermi level at 21.48 states/eV per cell. The space-group type is I-42d (122).

a = 6.824 Å, b = 6.824 Å, c = 7.543 Å
α = 90.00°, β = 90.00°, γ = 90.00°
Fractional coordinates of all 16 atoms:
Ca 0.150 0.250 0.125
Ca 0.250 0.650 0.375
Ca 0.250 0.850 0.875
Ca 0.350 0.250 0.625
Ca 0.650 0.750 0.625
Ca 0.750 0.150 0.875
Ca 0.750 0.350 0.375
Ca 0.850 0.750 0.125
Cr 0.000 0.000 0.500
Cr 0.000 0.500 0.750
Cr 0.500 0.000 0.250
Cr 0.500 0.500 0.000
H 0.000 0.000 0.000
H 0.000 0.500 0.250
H 0.500 0.000 0.750
H 0.500 0.500 0.500


2.
Here is ZnAgHg2C after structural relaxation from Alexandria via LeMat-Bulk. Energies are from PBE.

Properties
The calculation puts the magnetization at 0.000 μB/cell. The formation energy is 0.79 eV/atom. The calculation puts the density of states at the Fermi level at 2.26 states/eV per cell. The space-group type is P4/mmm (123).

a = 5.091 Å, b = 5.091 Å, c = 3.778 Å
α = 90.00°, β = 90.00°, γ = 90.00°
Fractional coordinates of all 5 atoms:
Zn 0.000 0.000 0.000
Ag 0.500 0.500 0.000
Hg 0.000 0.500 0.500
Hg 0.500 0.000 0.500
C 0.000 0.000 0.500


3.
Here is Si2TeAu after structural relaxation from Alexandria via LeMat-Bulk. Energies are from PBE.

Properties
The calculation puts the magnetization at 0.000 μB/cell. The uncorrected formation energy is 43.84 kJ/mol of atoms. The calculation puts the density of states at the Fermi level at 1.68 states/eV per cell. The space-group type is Pmmm (47).

a = 2.967 Å, b = 3.686 Å, c = 7.361 Å
α = 90.00°, β = 90.00°, γ = 90.00°
Fractional coordinates of all 4 atoms:
Si 0.000 0.000 0.205
Si 0.000 0.000 0.795
Te 0.500 0.500 0.500
Au 0.500 0.500 0.000


4.
Here is CaCr4W after structural relaxation from Alexandria via LeMat-Bulk. Energies are from PBE.

Properties
The calculation puts the magnetization at 0.000 μB/cell. The formation energy is 0.47 eV/atom. The calculation puts the density of states at the Fermi level at 2.81 states/eV per cell. The space-group type is F-43m (216).

a = 4.973 Å, b = 4.973 Å, c = 4.973 Å
α = 60.00°, β = 60.00°, γ = 60.00°
Fractional coordinates of all 6 atoms:
Ca 0.000 0.000 0.000
Cr 0.125 0.625 0.625
Cr 0.625 0.125 0.625
Cr 0.625 0.625 0.125
Cr 0.625 0.625 0.625
W 0.250 0.250 0.250


5.
Here is HfB2I after structural relaxation from Alexandria via LeMat-Bulk. Energies are from PBE.

Properties
The calculation puts the magnetization at 0.000 μB/cell. The uncorrected formation energy is 116.99 kJ/mol of atoms. Its energy relative to the lowest polymorph listed for this composition is 0 meV/atom. The calculation puts the density of states at the Fermi level at 6.88 states/eV per cell. The space-group type is I-42d (122).

a = 5.782 Å, b = 5.782 Å, c = 8.994 Å
α = 90.00°, β = 90.00°, γ = 90.00°
Fractional coordinates of all 16 atoms:
Hf 0.000 0.000 0.000
Hf 0.000 0.500 0.250
Hf 0.500 0.000 0.750
Hf 0.500 0.500 0.500
B 0.244 0.250 0.625
B 0.250 0.744 0.875
B 0.250 0.756 0.375
B 0.256 0.250 0.125
B 0.744 0.750 0.125
B 0.750 0.244 0.375
B 0.750 0.256 0.875
B 0.756 0.750 0.625
I 0.000 0.000 0.500
I 0.000 0.500 0.750
I 0.500 0.000 0.250
I 0.500 0.500 0.000


6.
Here is Ac3Pr3Dy4 after structural relaxation from Alexandria via LeMat-Bulk. Energies are from PBE.

Properties
The calculation puts the magnetization at 0.001 μB/cell. The formation energy is 0.08 eV/atom. The calculation puts the density of states at the Fermi level at 11.41 states/eV per cell. The space-group type is Amm2 (38).

a = 3.787 Å, b = 9.971 Å, c = 9.971 Å
α = 89.39°, β = 90.00°, γ = 90.00°
Fractional coordinates of all 10 atoms:
Ac 0.000 0.000 0.000
Ac 0.500 0.327 0.826
Ac 0.500 0.826 0.327
Pr 0.000 0.153 0.502
Pr 0.000 0.502 0.153
Pr 0.000 0.649 0.649
Dy 0.500 0.210 0.210
Dy 0.500 0.447 0.447
Dy 0.500 0.697 0.940
Dy 0.500 0.940 0.697


7.
Here is Sm5ThAu6 after structural relaxation from Alexandria via LeMat-Bulk. Energies are from PBE.

Properties
The calculation puts the magnetization at 0.000 μB/cell. The formation energy is -0.75 eV/atom. The calculation puts the density of states at the Fermi level at 8.93 states/eV per cell. The space-group type is Immm (71).

a = 9.042 Å, b = 9.042 Å, c = 9.042 Å
α = 146.36°, β = 132.42°, γ = 59.53°
Fractional coordinates of all 12 atoms:
Sm 0.000 0.000 0.000
Sm 0.165 0.665 0.500
Sm 0.329 0.329 0.000
Sm 0.671 0.671 0.000
Sm 0.835 0.335 0.500
Th 0.500 0.000 0.500
Au 0.086 0.834 0.252
Au 0.255 0.500 0.755
Au 0.418 0.166 0.252
Au 0.582 0.834 0.748
Au 0.745 0.500 0.245
Au 0.914 0.166 0.748


8.
Here is MnMo2Ru after structural relaxation from Alexandria via LeMat-Bulk. Energies are from PBE.

Properties
The calculation puts the magnetization at 5.936 μB/cell. Its energy relative to the lowest polymorph listed for this composition is 9 meV/atom. The formation energy is 0.08 eV/atom. The calculation puts the density of states at the Fermi level at 6.74 states/eV per cell. The space-group type is Immm (71).

a = 3.153 Å, b = 4.281 Å, c = 8.683 Å
α = 90.00°, β = 90.00°, γ = 90.00°
Fractional coordinates of all 8 atoms:
Mn 0.000 0.000 0.000
Mn 0.500 0.500 0.500
Mo 0.000 0.500 0.252
Mo 0.000 0.500 0.748
Mo 0.500 0.000 0.248
Mo 0.500 0.000 0.752
Ru 0.000 0.000 0.500
Ru 0.500 0.500 0.000


9.
Here is TiCo3H after structural relaxation from Alexandria via LeMat-Bulk. Energies are from PBE.

Properties
The calculation puts the magnetization at 5.118 μB/cell. Its energy relative to the lowest polymorph listed for this composition is 326 meV/atom. The calculation puts the density of states at the Fermi level at 11.71 states/eV per cell. The space-group type is Cmcm (63).

a = 4.774 Å, b = 4.774 Å, c = 4.783 Å
α = 90.00°, β = 90.00°, γ = 107.60°
Fractional coordinates of all 10 atoms:
Ti 0.087 0.913 0.750
Ti 0.913 0.087 0.250
Co 0.004 0.601 0.250
Co 0.399 0.996 0.250
Co 0.500 0.500 0.000
Co 0.500 0.500 0.500
Co 0.601 0.004 0.750
Co 0.996 0.399 0.750
H 0.346 0.654 0.750
H 0.654 0.346 0.250


10.
Here is Ac2BiN after structural relaxation from Alexandria via LeMat-Bulk. Energies are from PBE.

Properties
The calculation puts the magnetization at 0.000 μB/cell. The uncorrected formation energy is -96.80 kJ/mol of atoms. Its energy relative to the lowest polymorph listed for this composition is 0 meV/atom. The calculation puts the density of states at the Fermi level at 4.90 states/eV per cell. The space-group type is Cccm (66).

a = 6.249 Å, b = 13.573 Å, c = 6.350 Å
α = 90.00°, β = 90.00°, γ = 90.00°
Fractional coordinates of all 16 atoms:
Ac 0.194 0.104 0.000
Ac 0.194 0.896 0.500
Ac 0.306 0.396 0.000
Ac 0.306 0.604 0.500
Ac 0.694 0.396 0.500
Ac 0.694 0.604 0.000
Ac 0.806 0.104 0.500
Ac 0.806 0.896 0.000
Bi 0.250 0.250 0.500
Bi 0.250 0.750 0.000
Bi 0.750 0.250 0.000
Bi 0.750 0.750 0.500
N 0.000 0.000 0.250
N 0.000 0.000 0.750
N 0.500 0.500 0.250
N 0.500 0.500 0.750


11.
Here is K3TaBi after structural relaxation from Alexandria via LeMat-Bulk. Energies are from PBE.

Properties
The calculation puts the magnetization at 3.000 μB/cell. Its energy relative to the lowest polymorph listed for this composition is 0 meV/atom. The formation energy is 1.25 eV/atom. The calculation puts the density of states at the Fermi level at 21.82 states/eV per cell. The space-group type is Pm-3m (221).

a = 6.725 Å, b = 6.725 Å, c = 6.725 Å
α = 90.00°, β = 90.00°, γ = 90.00°
Fractional coordinates of all 5 atoms:
K 0.000 0.000 0.500
K 0.000 0.500 0.000
K 0.500 0.000 0.000
Ta 0.500 0.500 0.500
Bi 0.000 0.000 0.000


12.
Here is SrZn2SiRu after structural relaxation from Alexandria via LeMat-Bulk. Energies are from PBE.

Properties
The calculation puts the magnetization at 0.000 μB/cell. The uncorrected formation energy is -26.12 kJ/mol of atoms. The calculation puts the density of states at the Fermi level at 1.72 states/eV per cell. The space-group type is P4/mmm (123).

a = 4.883 Å, b = 4.883 Å, c = 4.562 Å
α = 90.00°, β = 90.00°, γ = 90.00°
Fractional coordinates of all 5 atoms:
Sr 0.000 0.000 0.000
Zn 0.000 0.500 0.500
Zn 0.500 0.000 0.500
Si 0.500 0.500 0.000
Ru 0.500 0.500 0.500


13.
Here is NpAg6O8 after structural relaxation from Alexandria via LeMat-Bulk. Energies are from PBE.

Properties
The calculation puts the magnetization at 0.141 μB/cell. The uncorrected formation energy is -64.97 kJ/mol of atoms. The calculation puts the density of states at the Fermi level at 14.40 states/eV per cell. The space-group type is Fm-3m (225).

a = 6.778 Å, b = 6.778 Å, c = 6.778 Å
α = 60.00°, β = 60.00°, γ = 60.00°
Fractional coordinates of all 15 atoms:
Np 0.000 0.000 0.000
Ag 0.000 0.000 0.500
Ag 0.000 0.500 0.000
Ag 0.000 0.500 0.500
Ag 0.500 0.000 0.000
Ag 0.500 0.000 0.500
Ag 0.500 0.500 0.000
O 0.216 0.216 0.784
O 0.216 0.784 0.216
O 0.216 0.784 0.784
O 0.250 0.250 0.250
O 0.750 0.750 0.750
O 0.784 0.216 0.216
O 0.784 0.216 0.784
O 0.784 0.784 0.216